# RbCrCu

Crystalline RbCrCu at its relaxed geometry (GGA-PBE, Alexandria via LeMat-Bulk).

```
12
Lattice="-9.7669 7.0737 -3.7948 -1.3044 -3.9537 -4.0127 -2.6056 -2.0563 2.8731" Properties=species:S:1:pos:R:3 pbc="T T T"
Cr -2.4853 -3.8452 -1.6527
Cr -7.6105 0.3443 0.0517
Cr -11.1917 4.9089 -3.2817
Cu -6.8385 0.5319 -2.4672
Rb -7.5509 4.2373 -3.8034
Cu -0.6522 -1.9769 -2.0063
Cu -6.1863 2.5087 -0.4608
Rb -6.1260 -3.1736 -1.1309
Rb -9.7158 1.3843 -4.4548
Cr -6.0665 0.7195 -4.9860
Cu 0.0000 0.0000 0.0000
Rb -3.9612 -0.3205 -0.4796
```

Values from the calculation:
Energy of formation (eV per atom): 0.74
Total energy (eV per atom): -4.158
Energy above the most stable polymorph in this dataset (eV/atom): 0.185
Space-group type: Pnma (62)



# RbCrCu

Crystalline RbCrCu at its relaxed geometry (GGA-PBE, Alexandria via LeMat-Bulk).

```
3
Lattice="3.8263 -2.2091 0.0000 0.0000 4.4182 0.0000 0.0000 0.0000 5.5593" Properties=species:S:1:pos:R:3 pbc="T T T"
Cr 1.2754 2.2091 0.0000
Cu 0.0000 0.0000 0.0000
Rb 2.5508 0.0000 2.7796
```

Values from the calculation:
Energy of formation (eV per atom): 0.89
Total energy (eV per atom): -4.001
Energy above the most stable polymorph in this dataset (eV/atom): 0.341
Space-group type: P-6m2 (187)



# RbCrCu

Crystalline RbCrCu at its relaxed geometry (GGA-PBE, Alexandria via LeMat-Bulk).

```
3
Lattice="3.0005 -1.6662 -3.8328 2.0268 -4.7250 0.1877 -1.7003 -3.6572 -3.1942" Properties=species:S:1:pos:R:3 pbc="T T T"
Rb 0.8318 -2.5121 -1.7098
Cu 0.0000 0.0000 0.0000
Cr 2.4953 -7.5363 -5.1295
```

Values from the calculation:
Energy of formation (eV per atom): 1.19
Total energy (eV per atom): -3.703
Energy above the most stable polymorph in this dataset (eV/atom): 0.640
Space-group type: F-43m (216)



# RbCrCu

Crystalline RbCrCu at its relaxed geometry (GGA-PBE, Alexandria via LeMat-Bulk).

```
6
Lattice="-9.8345 4.5711 -3.1651 0.0526 -1.1396 4.9465 3.1442 3.0109 0.6606" Properties=species:S:1:pos:R:3 pbc="T T T"
Cu -1.4308 3.0132 3.7933
Rb -6.6748 2.4004 2.1554
Cu -3.1254 1.9051 2.2182
Cr -1.0783 3.1995 1.2522
Rb 2.1220 2.5133 3.8360
Cr -3.5213 2.8478 -0.1891
```

Values from the calculation:
Energy of formation (eV per atom): 0.67
Total energy (eV per atom): -4.229
Energy above the most stable polymorph in this dataset (eV/atom): 0.114
Space-group type: P1 (1)